Here is a geometry-optimized La2InNi structure from Alexandria via LeMat-Bulk. Energies are from PBE. Values from VASP.

E ... -19.8 eV/f.u.
Size of the total moment ... 0.00 μB/cell
Volume ... 105.9 Å³/f.u.

```
&SYSTEM
  ibrav = 0, nat = 4, ntyp = 3
/
ATOMIC_SPECIES
Ni 58.69 Ni.upf
In 114.82 In.upf
La 138.91 La.upf
ATOMIC_POSITIONS crystal
Ni 0.500 0.250 0.250
In 0.500 0.750 0.750
La 0.000 0.959 0.040
La 0.000 0.541 0.460
CELL_PARAMETERS angstrom
-0.329 3.640 0.080
-1.996 -0.114 -3.019
-8.640 -0.812 1.388
```

Here is a geometry-optimized NdIn4PbS8 structure from Alexandria via LeMat-Bulk. Energies are from PBE. Values from VASP.

E ... -62.7 eV/f.u.
Size of the total moment ... 0.00 μB/cell
Volume ... 376.8 Å³/f.u.
Raw formation energy ... -0.732 eV per atom

```
&SYSTEM
  ibrav = 0, nat = 14, ntyp = 4
/
ATOMIC_SPECIES
Nd 144.24 Nd.upf
In 114.82 In.upf
Pb 207.20 Pb.upf
S 32.06 S.upf
ATOMIC_POSITIONS crystal
Nd 0.001 0.001 0.998
In 0.627 0.627 0.120
In 0.000 0.499 0.500
In 0.499 0.000 0.500
In 0.000 0.000 0.500
Pb 0.371 0.371 0.886
S 0.246 0.789 0.720
S 0.789 0.246 0.720
S 0.246 0.246 0.720
S 0.229 0.229 0.312
S 0.751 0.225 0.273
S 0.225 0.751 0.273
S 0.751 0.751 0.273
S 0.765 0.765 0.704
CELL_PARAMETERS angstrom
-2.520 6.937 -2.954
-4.240 4.953 4.549
3.556 6.980 2.661
```

Here is a geometry-optimized LiGdTmCu structure from Alexandria via LeMat-Bulk. Energies are from PBE. Values from VASP.

E ... -24.7 eV/f.u.
Size of the total moment ... 7.37 μB/cell
Volume ... 89.2 Å³/f.u.

```
&SYSTEM
  ibrav = 0, nat = 4, ntyp = 4
/
ATOMIC_SPECIES
Gd 157.25 Gd.upf
Tm 168.93 Tm.upf
Cu 63.55 Cu.upf
Li 6.94 Li.upf
ATOMIC_POSITIONS crystal
Gd 0.500 0.500 0.500
Tm 0.000 0.000 0.000
Cu 0.250 0.250 0.250
Li 0.750 0.750 0.750
CELL_PARAMETERS angstrom
5.015 0.000 0.000
2.508 4.343 0.000
2.508 1.448 4.095
```

Here is a geometry-optimized YTlCoTe2 structure from Alexandria via LeMat-Bulk. Energies are from PBE. Values from VASP.

E ... -22.8 eV/f.u.
Size of the total moment ... 0.00 μB/cell
Volume ... 131.9 Å³/f.u.
Raw formation energy ... -0.111 eV per atom

```
&SYSTEM
  ibrav = 0, nat = 5, ntyp = 4
/
ATOMIC_SPECIES
Y 88.91 Y.upf
Tl 204.38 Tl.upf
Te 127.60 Te.upf
Co 58.93 Co.upf
ATOMIC_POSITIONS crystal
Y 0.500 0.500 0.500
Tl 0.000 0.500 0.000
Te 0.000 0.000 0.500
Te 0.500 0.000 0.000
Co 0.000 0.000 0.000
CELL_PARAMETERS angstrom
-3.454 -3.774 -1.131
3.543 -3.245 0.009
-0.772 -0.828 5.116
```

Here is a geometry-optimized MoPt2Pb structure from Alexandria via LeMat-Bulk. Energies are from PBE. Values from VASP.

E ... -25.9 eV/f.u.
Size of the total moment ... 0.00 μB/cell
Volume ... 71.4 Å³/f.u.

```
&SYSTEM
  ibrav = 0, nat = 4, ntyp = 3
/
ATOMIC_SPECIES
Mo 95.94 Mo.upf
Pb 207.20 Pb.upf
Pt 195.08 Pt.upf
ATOMIC_POSITIONS crystal
Mo 0.750 0.750 0.750
Pb 0.250 0.250 0.250
Pt 0.008 0.008 0.975
Pt 0.492 0.492 0.525
CELL_PARAMETERS angstrom
4.949 0.006 -0.015
4.034 2.868 -0.015
0.683 0.218 5.038
```

Here is a geometry-optimized LiSmAgBi structure from Alexandria via LeMat-Bulk. Energies are from PBE. Values from VASP.

E ... -15.1 eV/f.u.
Size of the total moment ... 0.00 μB/cell
Volume ... 99.0 Å³/f.u.

```
&SYSTEM
  ibrav = 0, nat = 4, ntyp = 4
/
ATOMIC_SPECIES
Ag 107.87 Ag.upf
Bi 208.98 Bi.upf
Sm 150.36 Sm.upf
Li 6.94 Li.upf
ATOMIC_POSITIONS crystal
Ag 0.250 0.250 0.250
Bi 0.750 0.750 0.750
Sm 0.000 0.000 0.000
Li 0.500 0.500 0.500
CELL_PARAMETERS angstrom
-3.335 3.899 -0.796
-4.623 -0.015 2.363
-0.982 3.393 3.805
```

Here is a geometry-optimized Rb3Tm3PuTe8 structure from Alexandria via LeMat-Bulk. Energies are from PBE. Values from VASP.

E ... -74.4 eV/f.u.
Size of the total moment ... 4.03 μB/cell
Volume ... 592.7 Å³/f.u.
Raw formation energy ... -1.242 eV per atom

```
&SYSTEM
  ibrav = 0, nat = 15, ntyp = 4
/
ATOMIC_SPECIES
Rb 85.47 Rb.upf
Tm 168.93 Tm.upf
Pu 244.00 Pu.upf
Te 127.60 Te.upf
ATOMIC_POSITIONS crystal
Rb 0.000 0.000 0.000
Rb 0.000 0.500 0.000
Rb 0.500 0.500 0.000
Tm 0.500 0.000 0.500
Tm 0.500 0.500 0.500
Tm 0.000 0.500 0.500
Pu 0.000 0.000 0.500
Te 0.268 0.535 0.303
Te 0.732 0.465 0.697
Te 0.766 0.533 0.304
Te 0.234 0.467 0.696
Te 0.766 0.038 0.304
Te 0.234 0.962 0.696
Te 0.272 0.038 0.304
Te 0.728 0.962 0.696
CELL_PARAMETERS angstrom
8.866 0.000 0.000
-4.433 7.678 -0.033
0.000 -5.083 8.729
```

Here is a geometry-optimized HgSb2As structure from Alexandria via LeMat-Bulk. Energies are from PBE. Values from VASP.

E ... -12.7 eV/f.u.
Excess energy over the best structure of this formula in the dataset ... 0.099 eV per atom
Size of the total moment ... 0.00 μB/cell
Volume ... 108.6 Å³/f.u.
Raw formation energy ... 0.130 eV per atom

```
&SYSTEM
  ibrav = 0, nat = 8, ntyp = 3
/
ATOMIC_SPECIES
Sb 121.76 Sb.upf
As 74.92 As.upf
Hg 200.59 Hg.upf
ATOMIC_POSITIONS crystal
Sb 0.000 0.000 0.306
Sb 0.000 0.500 0.806
Sb 0.000 0.000 0.045
Sb 0.000 0.500 0.545
As 0.000 0.000 0.541
As 0.000 0.500 0.041
Hg 0.000 0.000 0.785
Hg 0.000 0.500 0.285
CELL_PARAMETERS angstrom
-1.449 -0.162 -2.752
3.860 -4.010 -1.797
-7.033 -8.658 4.212
```

Here is a geometry-optimized Dy3Cd2Ag3 structure from Alexandria via LeMat-Bulk. Energies are from PBE. Values from VASP.

E ... -26.3 eV/f.u.
Excess energy over the best structure of this formula in the dataset ... 0.000 eV per atom
Size of the total moment ... 0.00 μB/cell
Volume ... 188.7 Å³/f.u.

```
&SYSTEM
  ibrav = 0, nat = 8, ntyp = 3
/
ATOMIC_SPECIES
Dy 162.50 Dy.upf
Cd 112.41 Cd.upf
Ag 107.87 Ag.upf
ATOMIC_POSITIONS crystal
Dy 0.628 0.628 0.257
Dy 0.372 0.372 0.743
Dy 0.500 0.000 0.000
Cd 0.738 0.238 0.476
Cd 0.262 0.762 0.524
Ag 0.123 0.123 0.247
Ag 0.000 0.500 0.000
Ag 0.877 0.877 0.753
CELL_PARAMETERS angstrom
3.704 0.000 0.000
0.000 5.110 0.000
-1.852 -2.555 9.969
```

Here is a geometry-optimized TlMoPb2 structure from Alexandria via LeMat-Bulk. Energies are from PBE. Values from VASP.

E ... -18.7 eV/f.u.
Excess energy over the best structure of this formula in the dataset ... 0.009 eV per atom
Size of the total moment ... 0.00 μB/cell
Volume ... 105.6 Å³/f.u.

```
&SYSTEM
  ibrav = 0, nat = 4, ntyp = 3
/
ATOMIC_SPECIES
Mo 95.94 Mo.upf
Pb 207.20 Pb.upf
Tl 204.38 Tl.upf
ATOMIC_POSITIONS crystal
Mo 0.500 0.500 0.750
Pb 0.000 0.000 0.954
Pb 0.000 0.000 0.546
Tl 0.500 0.500 0.250
CELL_PARAMETERS angstrom
-0.838 1.292 -2.787
-1.577 -2.757 0.230
-8.253 5.128 4.858
```

Here is a geometry-optimized Dy8ErTm6 structure from Alexandria via LeMat-Bulk. Energies are from PBE. Values from VASP.

E ... -66.2 eV/f.u.
Excess energy over the best structure of this formula in the dataset ... 0.131 eV per atom
Size of the total moment ... 0.00 μB/cell
Volume ... 468.2 Å³/f.u.

```
&SYSTEM
  ibrav = 0, nat = 15, ntyp = 3
/
ATOMIC_SPECIES
Dy 162.50 Dy.upf
Er 167.26 Er.upf
Tm 168.93 Tm.upf
ATOMIC_POSITIONS crystal
Dy 0.255 0.280 0.575
Dy 0.720 0.110 0.425
Dy 0.110 0.745 0.425
Dy 0.577 0.577 0.270
Dy 0.423 0.423 0.730
Dy 0.890 0.255 0.575
Dy 0.280 0.890 0.575
Dy 0.745 0.720 0.425
Er 0.000 0.000 0.000
Tm 0.459 0.894 0.881
Tm 0.106 0.234 0.119
Tm 0.234 0.541 0.119
Tm 0.766 0.459 0.881
Tm 0.894 0.766 0.881
Tm 0.541 0.106 0.119
CELL_PARAMETERS angstrom
-3.505 3.044 -7.615
-3.733 -5.680 -5.775
-8.415 -0.071 -1.378
```

Here is a geometry-optimized UPa2Ru structure from Alexandria via LeMat-Bulk. Energies are from PBE. Values from VASP.

E ... -39.6 eV/f.u.
Excess energy over the best structure of this formula in the dataset ... 0.137 eV per atom
Size of the total moment ... 3.58 μB/cell
Volume ... 83.1 Å³/f.u.

```
&SYSTEM
  ibrav = 0, nat = 4, ntyp = 3
/
ATOMIC_SPECIES
Ru 101.07 Ru.upf
Pa 231.04 Pa.upf
U 238.03 U.upf
ATOMIC_POSITIONS crystal
Ru 0.500 0.500 0.500
Pa 0.250 0.250 0.250
Pa 0.750 0.750 0.750
U 0.000 0.000 0.000
CELL_PARAMETERS angstrom
4.898 0.000 0.000
2.449 4.242 0.000
2.449 1.414 3.999
```

Here is a geometry-optimized MnIn2Hg structure from Alexandria via LeMat-Bulk. Energies are from PBE. Values from VASP.

E ... -14.0 eV/f.u.
Size of the total moment ... 3.56 μB/cell
Volume ... 87.6 Å³/f.u.

```
&SYSTEM
  ibrav = 0, nat = 4, ntyp = 3
/
ATOMIC_SPECIES
Hg 200.59 Hg.upf
In 114.82 In.upf
Mn 54.94 Mn.upf
ATOMIC_POSITIONS crystal
Hg 0.500 0.500 0.750
In 0.000 0.000 0.021
In 0.000 0.000 0.479
Mn 0.500 0.500 0.250
CELL_PARAMETERS angstrom
-2.438 -1.270 -1.686
-1.468 -1.837 3.505
-3.570 5.211 1.236
```

Here is a geometry-optimized RbInSi2Os structure from Alexandria via LeMat-Bulk. Energies are from PBE. Values from VASP.

E ... -12.3 eV/f.u.
Size of the total moment ... 0.97 μB/cell
Volume ... 142.4 Å³/f.u.
Raw formation energy ... 2.702 eV per atom

```
&SYSTEM
  ibrav = 0, nat = 5, ntyp = 4
/
ATOMIC_SPECIES
Si 28.09 Si.upf
Os 190.23 Os.upf
Rb 85.47 Rb.upf
In 114.82 In.upf
ATOMIC_POSITIONS crystal
Si 0.000 0.000 0.500
Si 0.500 0.000 0.000
Os 0.000 0.500 0.000
Rb 0.000 0.000 0.000
In 0.500 0.500 0.500
CELL_PARAMETERS angstrom
-1.928 -0.198 -4.995
-3.489 -3.204 1.474
-3.285 4.086 1.106
```

Here is a geometry-optimized CdMoP structure from Alexandria via LeMat-Bulk. Energies are from PBE. Values from VASP.

E ... -16.9 eV/f.u.
Excess energy over the best structure of this formula in the dataset ... 0.113 eV per atom
Size of the total moment ... 0.00 μB/cell
Volume ... 54.2 Å³/f.u.

```
&SYSTEM
  ibrav = 0, nat = 3, ntyp = 3
/
ATOMIC_SPECIES
Cd 112.41 Cd.upf
Mo 95.94 Mo.upf
P 30.97 P.upf
ATOMIC_POSITIONS crystal
Cd 0.000 0.000 0.500
Mo 0.667 0.333 0.000
P 0.333 0.667 0.000
CELL_PARAMETERS angstrom
2.024 -3.506 0.000
2.024 3.506 0.000
0.000 0.000 3.821
```

Here is a geometry-optimized NbReBr2 structure from Alexandria via LeMat-Bulk. Energies are from PBE. Values from VASP.

E ... -21.2 eV/f.u.
Excess energy over the best structure of this formula in the dataset ... 0.501 eV per atom
Size of the total moment ... 0.00 μB/cell
Volume ... 68.8 Å³/f.u.
Raw formation energy ... 1.164 eV per atom

```
&SYSTEM
  ibrav = 0, nat = 4, ntyp = 3
/
ATOMIC_SPECIES
Re 186.21 Re.upf
Nb 92.91 Nb.upf
Br 79.90 Br.upf
ATOMIC_POSITIONS crystal
Re 0.500 0.500 0.500
Nb 0.000 0.000 0.000
Br 0.250 0.250 0.250
Br 0.750 0.750 0.750
CELL_PARAMETERS angstrom
0.622 -4.549 -0.295
-2.899 -2.861 2.138
-2.925 -2.567 -2.453
```

Here is a geometry-optimized LaPm2Pd structure from Alexandria via LeMat-Bulk. Energies are from PBE. Values from VASP.

E ... -19.3 eV/f.u.
Excess energy over the best structure of this formula in the dataset ... 0.513 eV per atom
Size of the total moment ... 0.00 μB/cell
Volume ... 122.2 Å³/f.u.

```
&SYSTEM
  ibrav = 0, nat = 4, ntyp = 3
/
ATOMIC_SPECIES
La 138.91 La.upf
Pd 106.42 Pd.upf
Pm 145.00 Pm.upf
ATOMIC_POSITIONS crystal
La 0.500 0.500 0.500
Pd 0.000 0.000 0.000
Pm 0.078 0.078 0.766
Pm 0.922 0.922 0.234
CELL_PARAMETERS angstrom
3.517 0.000 0.000
1.758 3.046 0.000
1.758 1.015 11.410
```

Here is a geometry-optimized Ac2LaNd5 structure from Alexandria via LeMat-Bulk. Energies are from PBE. Values from VASP.

E ... -36.8 eV/f.u.
Size of the total moment ... 0.00 μB/cell
Volume ... 301.4 Å³/f.u.

```
&SYSTEM
  ibrav = 0, nat = 16, ntyp = 3
/
ATOMIC_SPECIES
Ac 227.00 Ac.upf
La 138.91 La.upf
Nd 144.24 Nd.upf
ATOMIC_POSITIONS crystal
Ac 0.500 0.252 0.626
Ac 0.500 0.748 0.374
Ac 0.500 0.248 0.126
Ac 0.500 0.752 0.874
La 0.000 0.000 0.500
La 0.000 0.500 0.000
Nd 0.000 0.000 0.000
Nd 0.000 0.500 0.500
Nd 0.000 0.503 0.749
Nd 0.000 0.497 0.251
Nd 0.000 0.997 0.249
Nd 0.000 0.003 0.751
Nd 0.500 0.253 0.875
Nd 0.500 0.747 0.125
Nd 0.500 0.247 0.375
Nd 0.500 0.753 0.625
CELL_PARAMETERS angstrom
5.354 0.000 0.000
0.000 7.501 0.000
0.000 0.000 15.011
```

Here is a geometry-optimized PrPt12 structure from Alexandria via LeMat-Bulk. Energies are from PBE. Values from VASP.

E ... -80.7 eV/f.u.
Size of the total moment ... 0.00 μB/cell
Volume ... 224.9 Å³/f.u.

```
&SYSTEM
  ibrav = 0, nat = 13, ntyp = 2
/
ATOMIC_SPECIES
Pr 140.91 Pr.upf
Pt 195.08 Pt.upf
ATOMIC_POSITIONS crystal
Pr 0.000 0.000 0.000
Pt 0.500 0.000 0.500
Pt 0.000 0.000 0.500
Pt 0.500 0.500 0.000
Pt 0.000 0.500 0.000
Pt 0.000 0.653 0.347
Pt 0.000 0.347 0.653
Pt 0.653 0.347 0.347
Pt 0.347 0.653 0.653
Pt 0.500 0.218 0.782
Pt 0.500 0.782 0.218
Pt 0.718 0.782 0.782
Pt 0.282 0.218 0.218
CELL_PARAMETERS angstrom
-0.726 -5.185 -1.414
6.018 -3.413 -0.974
-0.322 -4.292 5.504
```

Here is a geometry-optimized LiMgHg4 structure from Alexandria via LeMat-Bulk. Energies are from PBE. Values from VASP.

E ... -4.5 eV/f.u.
Excess energy over the best structure of this formula in the dataset ... 0.217 eV per atom
Size of the total moment ... 0.00 μB/cell
Volume ... 147.2 Å³/f.u.

```
&SYSTEM
  ibrav = 0, nat = 6, ntyp = 3
/
ATOMIC_SPECIES
Li 6.94 Li.upf
Mg 24.30 Mg.upf
Hg 200.59 Hg.upf
ATOMIC_POSITIONS crystal
Li 0.750 0.750 0.750
Mg 0.000 0.000 0.000
Hg 0.874 0.375 0.375
Hg 0.375 0.375 0.874
Hg 0.375 0.874 0.375
Hg 0.375 0.375 0.375
CELL_PARAMETERS angstrom
0.000 4.191 4.191
4.191 0.000 4.191
4.191 4.191 0.000
```